An optimized crystal structure of Tb2CeYS4, computed with PBE.

The space group is P2/m (No. 10) and the conventional cell measures 6.844, 3.932 and 6.856 Å, with angles of 90.00, 109.28 and 90.00 degrees. The asymmetric unit holds Tb at (0.000, 0.000, 0.000), Tb at (0.000, 0.500, 0.500), Ce at (0.500, 0.000, 0.500), Y at (0.500, 0.500, 0.000), S at (0.244, 0.500, 0.244) and S at (0.248, 0.000, 0.753).

The value obtained for the total magnetization is 0.70 Bohr magnetons per cell. For the density of states at the Fermi level, the calculation gives 0.9324 states/eV per atom. Its raw formation energy is -2020 meV per atom.

An optimized crystal structure of KSiN3, computed with PBE.

The space group is Pm-3m (No. 221) and the conventional cell measures 4.673, 4.673 and 4.673 Å, with angles of 90.00, 90.00 and 90.00 degrees. The asymmetric unit holds K at (0.000, 0.000, 0.000), Si at (0.500, 0.500, 0.500) and N at (0.000, 0.000, 0.500).

The value obtained for the total magnetization is 6.00 Bohr magnetons per cell. For the density of states at the Fermi level, the calculation gives 0.1420 states/eV per atom. Its raw formation energy is 3165 meV per atom.

An optimized crystal structure of InOsF2, computed with PBE.

The space group is R-3m (No. 166, hexagonal axes) and the conventional cell measures 2.8305, 2.8305 and 24.4867 Å, with angles of 90.00, 90.00 and 120.00 degrees. The asymmetric unit holds In at (0.0000, 0.0000, 0.0000), Os at (0.0000, 0.0000, 0.5000) and F at (0.0000, 0.0000, 0.4177).

The value obtained for the total magnetization is 0.00 Bohr magnetons per cell. The energy above the lowest structure with this stoichiometry is 0 meV per atom. For the density of states at the Fermi level, the calculation gives 0.2838 states/eV per atom. Its raw formation energy is -830 meV per atom.

> Among the records above, which one has the lowest raw formation energy?

Tb2CeYS4